# 1
# CaAc3Sn2 (PBE, optimized geometry)
data_CaAc3Sn2
_cell_length_a 4.949
_cell_length_b 5.011
_cell_length_c 18.142
_cell_angle_alpha 90.00
_cell_angle_beta 90.00
_cell_angle_gamma 90.00
_symmetry_space_group_name_H-M 'I m m m'
_symmetry_Int_Tables_number 71
_symmetry_space_group_name_Hall '-I 2 2'
loop_
_atom_site_label
_atom_site_type_symbol
_atom_site_fract_x
_atom_site_fract_y
_atom_site_fract_z
Ca1 Ca 0.000 0.000 0.000
Ac1 Ac 0.000 0.000 0.500
Ac2 Ac 0.000 0.500 0.179
Sn1 Sn 0.000 0.500 0.367
# - excess energy over the best structure of this formula in the dataset (meV/atom) = 0
# - magnetization (μB/f.u.) = 0.44

=====

# 2
# CaAc4Sn5 (PBE, optimized geometry)
data_CaAc4Sn5
_cell_length_a 3.783
_cell_length_b 3.783
_cell_length_c 22.923
_cell_angle_alpha 90.00
_cell_angle_beta 90.00
_cell_angle_gamma 90.00
_symmetry_space_group_name_H-M 'P 4/m m m'
_symmetry_Int_Tables_number 123
_symmetry_space_group_name_Hall '-P 4 2'
loop_
_atom_site_label
_atom_site_type_symbol
_atom_site_fract_x
_atom_site_fract_y
_atom_site_fract_z
Ca1 Ca 0.000 0.000 0.000
Ac1 Ac 0.000 0.000 0.194
Ac2 Ac 0.000 0.000 0.398
Sn1 Sn 0.500 0.500 0.093
Sn2 Sn 0.500 0.500 0.296
Sn3 Sn 0.500 0.500 0.500
# - magnetization (μB/f.u.) = 0.00

=====

Number 1: formation energy -3.26 eV per formula unit. Number 2: formation energy -6.09 eV per formula unit.